Density functional theory data (PBE-GGA) for La2PmSm2Y4 after structural relaxation.

Cell: 9.6767 9.6767 9.7211 Å, 115.25 115.25 21.83°
Sites, in units of the cell vectors:
La (0.1657, 0.1657, 0.4992)
La (0.8343, 0.8343, 0.5008)
Pm (0.5000, 0.5000, 0.5000)
Sm (0.3521, 0.3521, 0.8362)
Sm (0.6479, 0.6479, 0.1638)
Y (0.0202, 0.0202, 0.8360)
Y (0.3146, 0.3146, 0.1629)
Y (0.6854, 0.6854, 0.8371)
Y (0.9798, 0.9798, 0.1640)

SG: C2/m (12)
E_form in eV/atom: -0.003



Density functional theory data (PBE-GGA) for KZn2AgAu after structural relaxation.

Cell: 4.9861 4.9861 5.4395 Å, 90.00 90.00 90.00°
Sites, in units of the cell vectors:
K (0.0000, 0.0000, 0.0000)
Zn (0.0000, 0.5000, 0.5000)
Zn (0.5000, 0.0000, 0.5000)
Ag (0.5000, 0.5000, 0.0000)
Au (0.5000, 0.5000, 0.5000)

SG: P4/mmm (123)
E_form in eV/atom: -0.034



Density functional theory data (PBE-GGA) for MnBeMo after structural relaxation.

Cell: 4.6012 4.6012 4.6012 Å, 121.15 119.31 89.61°
Sites, in units of the cell vectors:
Mn (0.5000, 0.0000, 0.0000)
Mn (0.5000, 0.5000, 0.5000)
Be (0.0000, 0.0000, 0.0000)
Be (0.5000, 0.0000, 0.5000)
Mo (0.1202, 0.3702, 0.7500)
Mo (0.8798, 0.6298, 0.2500)

SG: Imma (74)
E_form in eV/atom: -0.146



Density functional theory data (PBE-GGA) for CrSiOs3 after structural relaxation.

Cell: 4.4342 4.4342 4.4342 Å, 90.00 90.00 90.00°
Sites, in units of the cell vectors:
Cr (0.0000, 0.0000, 0.0000)
Si (0.5000, 0.5000, 0.5000)
Os (0.0000, 0.0000, 0.5000)
Os (0.0000, 0.5000, 0.0000)
Os (0.5000, 0.0000, 0.0000)

SG: Pm-3m (221)
ΔE_f (raw) in eV/atom: 1.832



Density functional theory data (PBE-GGA) for La2Sm3Er after structural relaxation.

Cell: 7.1282 9.9771 5.7669 Å, 90.00 90.00 90.00°
Sites, in units of the cell vectors:
La (0.2482, 0.1678, 0.0000)
La (0.2518, 0.6678, 0.5000)
La (0.7482, 0.3322, 0.5000)
La (0.7518, 0.8322, 0.0000)
Sm (0.0000, 0.5000, 0.0000)
Sm (0.2496, 0.3326, 0.5000)
Sm (0.2504, 0.8326, 0.0000)
Sm (0.5000, 0.0000, 0.5000)
Sm (0.7496, 0.1674, 0.0000)
Sm (0.7504, 0.6674, 0.5000)
Er (0.0000, 0.0000, 0.5000)
Er (0.5000, 0.5000, 0.0000)

SG: Pnnm (58)
E_form in eV/atom: 0.067



Density functional theory data (PBE-GGA) for RuINF2 after structural relaxation.

Cell: 4.3721 4.3721 3.8105 Å, 90.00 90.00 90.00°
Sites, in units of the cell vectors:
Ru (0.0000, 0.0000, 0.0000)
I (0.5000, 0.5000, 0.5000)
N (0.0000, 0.0000, 0.5000)
F (0.0000, 0.5000, 0.0000)
F (0.5000, 0.0000, 0.0000)

SG: P4/mmm (123)
ΔE_f (raw) in eV/atom: -0.081